12
Lattice="3.5128 0.0000 0.0000 -1.7564 3.0422 0.0000 0.0000 0.0000 18.3069" Properties=species:S:1:pos:R:3 comment="PBE-GGA Sm2HO, optimized geometry" final_energy_ev_per_atom=-5.807 sg="R3m, No. 160" magnetic_moment_mub_per_fu=0.65 pbc="T T T"
Sm 0.0000 0.0000 0.0000
Sm 0.0000 0.0000 3.1485
Sm 0.0000 2.0281 12.2046
Sm 0.0000 2.0281 15.3531
Sm 1.7564 1.0141 6.1023
Sm 1.7564 1.0141 9.2508
H 0.0000 0.0000 10.7913
H 0.0000 2.0281 4.6890
H 1.7564 1.0141 16.8936
O 0.0000 0.0000 7.7796
O 0.0000 2.0281 1.6773
O 1.7564 1.0141 13.8819